An optimized crystal structure of Rb4CrF6. Source: the Alexandria database, functional GGA+U.

The total moment is 24.00 μB/cell. For the final energy, the calculation gives -4.658 eV per atom.

The structure belongs to space group R-3c (No. 167, hexagonal axes); the cell edges are 10.7598, 10.7598 and 13.4701 Å and the angles 90.00°, 90.00° and 120.00°. The asymmetric unit holds Rb at (0.0000, 0.0000, 0.2500), Rb at (0.0000, 0.3653, 0.2500), Cr at (0.0000, 0.0000, 0.0000) and F at (0.0229, 0.1742, 0.4069).